No. 1
## Ga4CoNi3 (PBE-GGA)

Data for an optimized crystal structure of Ga4CoNi3.

Density of states at the Fermi level: 0.544 states/eV per atom
Formation energy: -2.67 eV per formula unit
E_tot: -39.2 eV/cell
Symmetry: Fmmm (69)
Total moment: 0.0696 μB/atom

a b c (Å): 3.9978 3.9977 6.7924
angles (deg): 107.10 107.10 89.88
Closest atoms and distances in Å follow each position.
Atoms (fractional coordinates):
Ni: 0.0000 0.5000 0.0000  8 Ga 2.52
Ni: 0.7441 0.2441 0.4892  8 Ga 2.49-2.58
Ni: 0.2559 0.7559 0.5108  8 Ga 2.49-2.58
Co: 0.5000 0.0000 0.0000  8 Ga 2.52
Ga: 0.3762 0.3762 0.7521  6 Ni 2.49-2.58, 2 Co 2.52
Ga: 0.6238 0.6238 0.2479  6 Ni 2.49-2.58, 2 Co 2.52
Ga: 0.1238 0.1238 0.2479  6 Ni 2.49-2.58, 2 Co 2.52
Ga: 0.8762 0.8762 0.7521  6 Ni 2.49-2.58, 2 Co 2.52

No. 2
## Ga2CoNi6 (PBE-GGA)

Data for an optimized crystal structure of Ga2CoNi6.

Density of states at the Fermi level: 1.343 states/eV per atom
Formation energy: 0.65 eV per formula unit
E_tot: -47.2 eV/cell
Symmetry: Imm2 (44)
Total moment: 0.3141 μB/atom

a b c (Å): 3.7642 6.8711 6.8710
angles (deg): 41.71 74.10 74.10
Closest atoms and distances in Å follow each position.
Atoms (fractional coordinates):
Ga: 0.1235 0.3765 0.3765  10 Ni 2.47-2.66, 1 Ga 2.76
Ga: 0.8991 0.6009 0.6009  2 Co 2.45, 10 Ni 2.47-2.67
Co: 0.9115 0.0884 0.0884  2 Ga 2.45, 8 Ni 2.52-2.56
Ni: 0.3165 0.9377 0.4291  5 Ni 2.34-2.49, 2 Ga 2.47, 2 Co 2.52
Ni: 0.7039 0.0375 0.5545  5 Ni 2.34-2.53, 2 Ga 2.47
Ni: 0.7039 0.5545 0.0375  5 Ni 2.34-2.53, 2 Ga 2.47
Ni: 0.5125 0.2347 0.7406  4 Ni 2.35-2.48, 2 Co 2.56, 2 Ga 2.63
Ni: 0.5125 0.7406 0.2347  4 Ni 2.35-2.48, 2 Co 2.56, 2 Ga 2.63
Ni: 0.3165 0.4291 0.9377  5 Ni 2.34-2.49, 2 Ga 2.47, 2 Co 2.52

No. 3
## Ga3Co2Ni (PBE-GGA)

Data for an optimized crystal structure of Ga3Co2Ni.

Density of states at the Fermi level: 0.591 states/eV per atom
Formation energy: -1.78 eV per formula unit
Relative energy among the computed polymorphs: 0.0080 eV/atom
E_tot: -61.7 eV/cell
Symmetry: P-3m1 (164)
Total moment: 0.1450 μB/atom

a b c (Å): 4.0988 4.0988 10.0287
angles (deg): 90.00 90.00 120.00
Closest atoms and distances in Å follow each position.
Atoms (fractional coordinates):
Ga: 0.3333 0.6667 0.4165  4 Co 2.51, 4 Ni 2.51
Ga: 0.6667 0.3333 0.0817  7 Co 2.49-2.51, 1 Ni 2.52
Ga: 0.0000 0.0000 0.7521  5 Co 2.49-2.53, 3 Ni 2.52
Ga: 0.0000 0.0000 0.2479  5 Co 2.49-2.53, 3 Ni 2.52
Ga: 0.3333 0.6667 0.9183  7 Co 2.49-2.51, 1 Ni 2.52
Ga: 0.6667 0.3333 0.5835  4 Co 2.51, 4 Ni 2.51
Co: 0.0000 0.0000 0.5000  8 Ga 2.51-2.53
Co: 0.3333 0.6667 0.1664  8 Ga 2.49-2.51
Co: 0.6667 0.3333 0.8336  8 Ga 2.49-2.51
Co: 0.0000 0.0000 0.0000  8 Ga 2.49-2.50
Ni: 0.3333 0.6667 0.6672  8 Ga 2.51-2.52
Ni: 0.6667 0.3333 0.3328  8 Ga 2.51-2.52

Among the records above, which one has the highest density of states at the Fermi level?
Ga2CoNi6

What is the formula in the third record?
Ga3Co2Ni

Copy entry 3 word for word.
## Ga3Co2Ni (PBE-GGA)

Data for an optimized crystal structure of Ga3Co2Ni.

Density of states at the Fermi level: 0.591 states/eV per atom
Formation energy: -1.78 eV per formula unit
Relative energy among the computed polymorphs: 0.0080 eV/atom
E_tot: -61.7 eV/cell
Symmetry: P-3m1 (164)
Total moment: 0.1450 μB/atom

a b c (Å): 4.0988 4.0988 10.0287
angles (deg): 90.00 90.00 120.00
Closest atoms and distances in Å follow each position.
Atoms (fractional coordinates):
Ga: 0.3333 0.6667 0.4165  4 Co 2.51, 4 Ni 2.51
Ga: 0.6667 0.3333 0.0817  7 Co 2.49-2.51, 1 Ni 2.52
Ga: 0.0000 0.0000 0.7521  5 Co 2.49-2.53, 3 Ni 2.52
Ga: 0.0000 0.0000 0.2479  5 Co 2.49-2.53, 3 Ni 2.52
Ga: 0.3333 0.6667 0.9183  7 Co 2.49-2.51, 1 Ni 2.52
Ga: 0.6667 0.3333 0.5835  4 Co 2.51, 4 Ni 2.51
Co: 0.0000 0.0000 0.5000  8 Ga 2.51-2.53
Co: 0.3333 0.6667 0.1664  8 Ga 2.49-2.51
Co: 0.6667 0.3333 0.8336  8 Ga 2.49-2.51
Co: 0.0000 0.0000 0.0000  8 Ga 2.49-2.50
Ni: 0.3333 0.6667 0.6672  8 Ga 2.51-2.52
Ni: 0.6667 0.3333 0.3328  8 Ga 2.51-2.52

The lowest formation energy belongs to which entry?
Ga4CoNi3